Compound: Tl3CdAs
Source: Alexandria via LeMat-Bulk
Functional: GGA-PBE
Structure: relaxed

a = 5.6476 Å, b = 5.6476 Å, c = 5.6476 Å
α = 90.00°, β = 90.00°, γ = 90.00°
Sites, in units of the cell vectors:
Tl 0.0000 0.0000 0.5000
Tl 0.0000 0.5000 0.0000
Tl 0.5000 0.0000 0.0000
Cd 0.5000 0.5000 0.5000
As 0.0000 0.0000 0.0000

Properties
Final energy: -11.03 eV per cell
Magnetization: 0.000 μB/cell
ΔE to the lowest computed polymorph: 0.000 eV per atom